No. 1
Compound: Tl2P2Rh
Source: Alexandria
Functional: PBE
Structure: relaxed

Unit cell a=6.030 b=6.030 c=5.827 alpha=90.00 beta=90.00 gamma=90.00
Fractional positions:
Tl 0.195 0.305 0.000
Tl 0.305 0.805 0.000
Tl 0.695 0.195 0.000
Tl 0.805 0.695 0.000
P 0.128 0.628 0.500
P 0.372 0.128 0.500
P 0.628 0.872 0.500
P 0.872 0.372 0.500
Rh 0.000 0.000 0.500
Rh 0.500 0.500 0.500

- SG = No. 127
- magnetization (μB per cell) = 0.000
- N(E_F) (states/eV/atom) = 0.261
- ΔH_f (0 K) (meV per atom) = -164

No. 2
Compound: Tl3PRh
Source: Alexandria
Functional: PBE
Structure: relaxed

Unit cell a=5.255 b=5.255 c=5.255 alpha=90.00 beta=90.00 gamma=90.00
Fractional positions:
Tl 0.000 0.000 0.500
Tl 0.000 0.500 0.000
Tl 0.500 0.000 0.000
P 0.500 0.500 0.500
Rh 0.000 0.000 0.000

- excess energy over the best structure of this formula in the dataset (meV per atom) = 0
- SG = No. 221
- magnetization (μB per cell) = 1.309
- N(E_F) (states/eV/atom) = 0.792
- ΔH_f (0 K) (meV per atom) = 421

No. 3
Compound: TlPRh
Source: Alexandria
Functional: PBE
Structure: relaxed

Unit cell a=6.623 b=6.623 c=6.623 alpha=153.18 beta=153.18 gamma=38.30
Fractional positions:
Tl 0.000 0.000 0.000
P 0.719 0.719 0.000
Rh 0.301 0.301 0.000

- excess energy over the best structure of this formula in the dataset (meV per atom) = 260
- SG = No. 107
- magnetization (μB per cell) = 0.000
- N(E_F) (states/eV/atom) = 0.829
- ΔH_f (0 K) (meV per atom) = -113